# 1
Compound: TbPmPt10
Source: Alexandria
Functional: PBE
Structure: optimized geometry

abc: 4.451 5.397 9.298
angles: 90.00 90.00 90.00
Fractional positions:
Tb: 0.000 0.000 0.000
Pm: 0.000 0.500 0.500
Pt: 0.000 0.000 0.331
Pt: 0.000 0.000 0.669
Pt: 0.000 0.500 0.165
Pt: 0.000 0.500 0.835
Pt: 0.500 0.000 0.500
Pt: 0.500 0.249 0.249
Pt: 0.500 0.249 0.751
Pt: 0.500 0.500 0.000
Pt: 0.500 0.751 0.249
Pt: 0.500 0.751 0.751

## Properties
D(E_F)	9.5	states/eV/cell
ΔE_f	-0.705	eV per atom
symmetry	No. 47


# 2
Compound: Mg14CuW
Source: Alexandria
Functional: PBE
Structure: optimized geometry

abc: 6.201 6.201 9.890
angles: 90.00 90.00 120.00
Fractional positions:
Mg: 0.000 0.000 0.249
Mg: 0.000 0.000 0.751
Mg: 0.017 0.508 0.249
Mg: 0.017 0.508 0.751
Mg: 0.333 0.166 0.500
Mg: 0.336 0.168 0.000
Mg: 0.492 0.508 0.249
Mg: 0.492 0.508 0.751
Mg: 0.492 0.983 0.249
Mg: 0.492 0.983 0.751
Mg: 0.832 0.168 0.000
Mg: 0.832 0.664 0.000
Mg: 0.834 0.166 0.500
Mg: 0.834 0.667 0.500
Cu: 0.333 0.667 0.500
W: 0.333 0.667 0.000

## Properties
D(E_F)	8.2	states/eV/cell
ΔE_f	0.144	eV per atom
symmetry	No. 187


# 3
Compound: CeHo2B6
Source: Alexandria
Functional: PBE
Structure: optimized geometry

abc: 5.653 5.653 3.937
angles: 90.00 90.00 120.00
Fractional positions:
Ce: 0.000 0.000 0.000
Ho: 0.333 0.667 0.000
Ho: 0.667 0.333 0.000
B: 0.000 0.334 0.500
B: 0.000 0.666 0.500
B: 0.334 0.000 0.500
B: 0.334 0.334 0.500
B: 0.666 0.000 0.500
B: 0.666 0.666 0.500

## Properties
D(E_F)	6.0	states/eV/cell
ΔE_f	-0.520	eV per atom
symmetry	No. 191


Look up the D(E_F) of the third one.
6.0 states/eV/cell